1.
## Sc2TlAg (GGA-PBEsol)

Data for an optimized crystal structure of Sc2TlAg.

Output
* energy relative to the elements: -0.23 eV per atom
* total energy: -5.02 eV per atom
* D(E_F): 8.92 states/eV per cell
* size of the total moment: 0.1219 μB per atom
* symmetry: No. 8

a = 11.2936 Å, b = 3.4067 Å, c = 4.8162 Å
α = 90.00°, β = 114.75°, γ = 90.00°
Closest atoms and distances in Å follow each position.
Element x y z (fractional)
1 Sc 0.0000 0.0000 0.0000  4 Ag 2.94-2.96, 2 Tl 3.24, 2 Sc 3.25
2 Sc 0.2303 0.0000 0.7263  2 Ag 2.94, 4 Tl 2.98, 2 Sc 3.25
3 Sc 0.5000 0.5000 0.0000  4 Ag 2.94-2.96, 2 Tl 3.24, 2 Sc 3.25
4 Sc 0.7303 0.5000 0.7263  2 Ag 2.94, 4 Tl 2.98, 2 Sc 3.25
5 Tl 0.2690 0.5000 0.2640  2 Ag 2.89, 4 Sc 2.98
6 Tl 0.7690 0.0000 0.2640  2 Ag 2.89, 4 Sc 2.98
7 Ag 0.4964 0.0000 0.4979  2 Tl 2.89, 6 Sc 2.94-2.96
8 Ag 0.9964 0.5000 0.4979  2 Tl 2.89, 6 Sc 2.94-2.96

2.
## Sc2TlAg (GGA-PBEsol)

Data for an optimized crystal structure of Sc2TlAg.

Output
* energy relative to the elements: -0.33 eV per atom
* total energy: -5.12 eV per atom
* D(E_F): 3.97 states/eV per cell
* size of the total moment: 0.0009 μB per atom
* symmetry: No. 25

a = 3.5249 Å, b = 4.8529 Å, c = 4.8517 Å
α = 90.00°, β = 90.00°, γ = 90.00°
Closest atoms and distances in Å follow each position.
Element x y z (fractional)
1 Sc 0.0000 0.0000 0.0000  4 Tl 3.00, 4 Ag 3.00
2 Sc 0.0000 0.5000 0.4992  4 Ag 3.00, 4 Tl 3.00
3 Tl 0.5000 0.0000 0.5001  8 Sc 3.00
4 Ag 0.5000 0.5000 0.9987  8 Sc 3.00

3.
## Sc2TlAg (GGA-PBEsol)

Data for an optimized crystal structure of Sc2TlAg.

Output
* energy relative to the elements: -0.34 eV per atom
* total energy: -5.13 eV per atom
* D(E_F): 3.37 states/eV per cell
* size of the total moment: 0.0000 μB per atom
* symmetry: No. 123

a = 3.4277 Å, b = 3.4277 Å, c = 7.0585 Å
α = 90.00°, β = 90.00°, γ = 90.00°
Closest atoms and distances in Å follow each position.
Element x y z (fractional)
1 Sc 0.0000 0.0000 0.2336  4 Ag 2.93, 4 Tl 3.07
2 Sc 0.0000 0.0000 0.7664  4 Ag 2.93, 4 Tl 3.07
3 Tl 0.5000 0.5000 0.5000  8 Sc 3.07, 4 Tl 3.43
4 Ag 0.5000 0.5000 0.0000  8 Sc 2.93

4.
## ScTlAg (GGA-PBEsol)

Data for an optimized crystal structure of ScTlAg.

Output
* energy relative to the elements: -0.24 eV per atom
* total energy: -4.43 eV per atom
* D(E_F): 1.95 states/eV per cell
* size of the total moment: 0.0014 μB per atom
* symmetry: No. 187

a = 4.7402 Å, b = 4.7402 Å, c = 3.1589 Å
α = 90.00°, β = 90.00°, γ = 120.00°
Closest atoms and distances in Å follow each position.
Element x y z (fractional)
1 Sc 0.0000 0.0000 0.0000  2 Sc 3.16, 6 Tl 3.16, 6 Ag 3.16
2 Tl 0.6667 0.3333 0.5000  3 Ag 2.74
3 Ag 0.3333 0.6667 0.5000  3 Tl 2.74

5.
## ScAgW2 (GGA-PBEsol)

Data for an optimized crystal structure of ScAgW2.

Output
* energy relative to the elements: 0.33 eV per atom
* total energy: -9.05 eV per atom
* D(E_F): 2.67 states/eV per cell
* size of the total moment: 0.0001 μB per atom
* symmetry: No. 99

a = 2.7181 Å, b = 2.7181 Å, c = 9.0630 Å
α = 90.00°, β = 90.00°, γ = 90.00°
Closest atoms and distances in Å follow each position.
Element x y z (fractional)
1 Sc 0.0000 0.0000 0.0000  4 Sc 2.72, 4 W 2.98, 4 Ag 3.04
2 Ag 0.5000 0.5000 0.7402  4 Ag 2.72, 4 W 2.90, 4 Sc 3.04
3 W 0.0000 0.0000 0.5001  8 W 2.72-2.96, 4 Ag 2.90
4 W 0.5000 0.5000 0.2518  8 W 2.72-2.96, 4 Sc 2.98

6.
## ScAgW2 (GGA-PBEsol)

Data for an optimized crystal structure of ScAgW2.

Output
* energy relative to the elements: 0.53 eV per atom
* total energy: -8.85 eV per atom
* D(E_F): 9.48 states/eV per cell
* size of the total moment: 0.0001 μB per atom
* symmetry: No. 166

a = 2.8249 Å, b = 2.8249 Å, c = 29.3680 Å
α = 90.00°, β = 90.00°, γ = 120.00°
Closest atoms and distances in Å follow each position.
Element x y z (fractional)
1 Sc 0.0000 0.0000 0.0000  6 Sc 2.82, 6 W 2.97
2 Sc 0.3333 0.6667 0.6667  6 Sc 2.82, 6 W 2.97
3 Sc 0.6667 0.3333 0.3333  6 Sc 2.82, 6 W 2.97
4 Ag 0.0000 0.0000 0.5000  6 Ag 2.82, 6 W 2.91
5 Ag 0.3333 0.6667 0.1667  6 Ag 2.82, 6 W 2.91
6 Ag 0.6667 0.3333 0.8333  6 Ag 2.82, 6 W 2.91
7 W 0.0000 0.0000 0.2486  6 W 2.82, 3 Ag 2.91, 3 Sc 2.97
8 W 0.0000 0.0000 0.7514  6 W 2.82, 3 Ag 2.91, 3 Sc 2.97
9 W 0.3333 0.6667 0.4181  6 W 2.82, 3 Ag 2.91, 3 Sc 2.97
10 W 0.3333 0.6667 0.9153  6 W 2.82, 3 Ag 2.91, 3 Sc 2.97
11 W 0.6667 0.3333 0.0847  6 W 2.82, 3 Ag 2.91, 3 Sc 2.97
12 W 0.6667 0.3333 0.5819  6 W 2.82, 3 Ag 2.91, 3 Sc 2.97

> What is the total energy in the third record?

-5.13 eV per atom